{"formula": "AcReC2", "functional": "PBE", "state": "relaxed", "e_above_lowest_polymorph_ev_per_atom": 0.0000, "formation_enthalpy_0k_mev_per_atom": 463.1, "total_magnetization_mub_per_cell": 0.00, "cell": [[3.361, 0.001, 0.001], [-0.001, 3.363, -0.001], [-1.680, -1.679, 5.795]], "species": ["Re", "Ac", "C", "C"], "frac_coords": [[0.471, 0.631, 0.728], [0.221, 0.882, 0.228], [0.878, 0.537, 0.540], [0.565, 0.225, 0.916]]}

{"formula": "AcReC", "functional": "PBE", "state": "relaxed", "e_above_lowest_polymorph_ev_per_atom": 0.0000, "formation_enthalpy_0k_mev_per_atom": 193.4, "total_magnetization_mub_per_cell": 0.00, "cell": [[-0.114, -3.270, 1.328], [4.425, -3.854, -4.411], [6.080, -1.715, 0.994]], "species": ["C", "Re", "C", "Ac", "Ac", "Re"], "frac_coords": [[0.737, 0.720, 0.806], [0.177, 0.642, 0.004], [0.263, 0.280, 0.194], [0.599, 0.180, 0.621], [0.401, 0.820, 0.379], [0.823, 0.358, 0.996]]}

{"formula": "AcReC2", "functional": "PBE", "state": "relaxed", "e_above_lowest_polymorph_ev_per_atom": 0.0771, "formation_enthalpy_0k_mev_per_atom": 540.2, "total_magnetization_mub_per_cell": 0.00, "cell": [[-2.768, 1.666, 0.854], [-2.051, -1.248, 2.324], [1.432, 3.022, 5.288]], "species": ["Re", "C", "Ac", "C"], "frac_coords": [[0.000, 0.000, 0.000], [0.727, 0.727, 0.818], [0.500, 0.500, 0.500], [0.273, 0.273, 0.182]]}

{"formula": "AcReC", "functional": "PBE", "state": "relaxed", "e_above_lowest_polymorph_ev_per_atom": 0.6191, "formation_enthalpy_0k_mev_per_atom": 812.5, "total_magnetization_mub_per_cell": 0.00, "cell": [[3.071, 0.000, 0.000], [0.000, 3.071, 0.000], [-1.535, -1.535, 5.371]], "species": ["Re", "Ac", "C"], "frac_coords": [[0.279, 0.279, 0.558], [0.004, 0.004, 0.008], [0.717, 0.717, 0.434]]}

{"formula": "AcRe2Si2C", "functional": "PBE", "state": "relaxed", "raw_formation_energy_ev_per_atom": -0.29, "total_magnetization_mub_per_cell": 0.00, "cell": [[-3.275, 2.606, 0.569], [-1.573, -1.159, -3.745], [-2.823, -4.081, 2.449]], "species": ["Si", "Ac", "Si", "C", "Re", "Re"], "frac_coords": [[0.500, 0.500, 0.729], [0.000, 0.000, 0.500], [0.500, 0.500, 0.271], [0.000, 0.000, 0.000], [0.000, 0.500, 0.000], [0.500, 0.000, 0.000]]}

{"formula": "AcRe2SiC", "functional": "PBE", "state": "relaxed", "raw_formation_energy_ev_per_atom": -0.28, "total_magnetization_mub_per_cell": 0.00, "cell": [[4.183, 0.000, 0.000], [-2.092, 5.539, 0.000], [0.000, 0.000, 7.468]], "species": ["Ac", "Re", "Re", "Si", "Ac", "Re", "Si", "C", "Re", "C"], "frac_coords": [[0.544, 0.088, 0.250], [0.175, 0.351, 0.939], [0.825, 0.649, 0.061], [0.734, 0.468, 0.750], [0.456, 0.912, 0.750], [0.825, 0.649, 0.439], [0.266, 0.532, 0.250], [0.000, 0.000, 0.000], [0.175, 0.351, 0.561], [0.000, 0.000, 0.500]]}

{"formula": "Ac2Re2Si2C", "functional": "PBE", "state": "relaxed", "raw_formation_energy_ev_per_atom": -0.44, "total_magnetization_mub_per_cell": 0.00, "cell": [[4.234, 0.000, 0.000], [2.117, 5.849, -0.455], [2.117, 1.718, 5.858]], "species": ["Si", "Si", "C", "Ac", "Re", "Ac", "Re"], "frac_coords": [[0.818, 0.617, 0.747], [0.182, 0.383, 0.253], [0.000, 0.000, 0.000], [0.437, 0.819, 0.307], [0.806, 0.304, 0.084], [0.563, 0.181, 0.693], [0.194, 0.696, 0.916]]}

{"formula": "AcRh3C", "functional": "PBE", "state": "relaxed", "e_above_lowest_polymorph_ev_per_atom": 0.1107, "formation_enthalpy_0k_mev_per_atom": -165.5, "total_magnetization_mub_per_cell": 0.00, "cell": [[5.285, 0.000, 0.000], [0.000, 6.135, 0.000], [0.000, -3.068, 5.313]], "species": ["C", "Ac", "Ac", "Rh", "C", "Rh", "Rh", "Rh", "Rh", "Rh"], "frac_coords": [[0.500, 0.000, 0.000], [0.750, 0.667, 0.333], [0.250, 0.333, 0.667], [0.750, 0.695, 0.847], [0.000, 0.000, 0.000], [0.750, 0.153, 0.847], [0.750, 0.153, 0.305], [0.250, 0.847, 0.153], [0.250, 0.847, 0.695], [0.250, 0.305, 0.153]]}

{"formula": "AcRh4C", "functional": "PBE", "state": "relaxed", "formation_enthalpy_0k_mev_per_atom": -41.9, "total_magnetization_mub_per_cell": 0.00, "cell": [[4.084, 0.000, 0.000], [0.000, 6.128, 0.000], [0.000, 0.000, 8.167]], "species": ["Rh", "Ac", "Rh", "Rh", "Rh", "Rh", "C", "Rh", "Rh", "Rh", "C", "Ac"], "frac_coords": [[0.000, 0.000, 0.500], [0.000, 0.500, 0.250], [0.500, 0.701, 0.000], [0.000, 0.000, 0.000], [0.500, 0.000, 0.250], [0.500, 0.000, 0.750], [0.000, 0.000, 0.250], [0.500, 0.701, 0.500], [0.500, 0.299, 0.000], [0.500, 0.299, 0.500], [0.000, 0.000, 0.750], [0.000, 0.500, 0.750]]}

{"formula": "AcRh3C", "functional": "PBE", "state": "relaxed", "e_above_lowest_polymorph_ev_per_atom": 0.0000, "formation_enthalpy_0k_mev_per_atom": -276.2, "total_magnetization_mub_per_cell": 0.00, "cell": [[-1.844, 2.847, -2.683], [0.974, -2.539, -3.363], [-3.789, -2.038, 0.442]], "species": ["Rh", "Rh", "Ac", "C", "Rh"], "frac_coords": [[0.000, 0.000, 0.500], [0.500, 0.000, 0.000], [0.500, 0.500, 0.500], [0.000, 0.000, 0.000], [0.000, 0.500, 0.000]]}

{"formula": "Ac2SnRh6C", "functional": "PBE", "state": "relaxed", "formation_enthalpy_0k_mev_per_atom": -461.7, "total_magnetization_mub_per_cell": 0.00, "cell": [[-0.322, 1.487, 5.684], [-1.144, -6.965, 1.760], [3.904, -2.165, 3.833]], "species": ["C", "Ac", "Rh", "Rh", "Ac", "Rh", "Sn", "Rh", "Rh", "Rh"], "frac_coords": [[0.500, 0.500, 0.000], [0.731, 0.192, 0.539], [0.272, 0.329, 0.943], [0.214, 0.670, 0.058], [0.269, 0.808, 0.461], [0.786, 0.330, 0.942], [0.000, 0.000, 0.000], [0.728, 0.669, 0.543], [0.728, 0.671, 0.057], [0.272, 0.331, 0.457]]}

{"formula": "AcRu2C3", "functional": "PBE", "state": "relaxed", "formation_enthalpy_0k_mev_per_atom": 92.8, "total_magnetization_mub_per_cell": 0.00, "cell": [[5.336, 0.000, 0.000], [0.000, 6.203, -3.325], [0.000, -0.760, 6.030]], "species": ["C", "Ac", "Ru", "C", "C", "Ru", "C", "Ru", "C", "Ac", "Ru", "C"], "frac_coords": [[0.750, 0.923, 0.846], [0.250, 0.716, 0.431], [0.500, 0.807, 0.000], [0.750, 0.461, 0.116], [0.250, 0.345, 0.884], [0.000, 0.807, 0.000], [0.250, 0.539, 0.884], [0.000, 0.193, 0.000], [0.750, 0.655, 0.116], [0.750, 0.284, 0.569], [0.500, 0.193, 0.000], [0.250, 0.077, 0.154]]}

{"formula": "AcRuC", "functional": "PBE", "state": "relaxed", "e_above_lowest_polymorph_ev_per_atom": 0.0000, "formation_enthalpy_0k_mev_per_atom": 132.8, "total_magnetization_mub_per_cell": 0.00, "cell": [[-1.020, -0.749, 4.291], [3.774, 1.315, 1.127], [-2.943, 6.436, 2.352]], "species": ["Ru", "Ac", "C", "Ru", "Ac", "C"], "frac_coords": [[0.519, 0.750, 0.906], [0.875, 0.750, 0.284], [0.285, 0.250, 0.337], [0.481, 0.250, 0.094], [0.125, 0.250, 0.716], [0.715, 0.750, 0.663]]}